First-principles (PBE with a Hubbard U) data for crystalline CaCdNi2F at its relaxed geometry, as listed in Alexandria via LeMat-Bulk.

Properties
N(E_F)   2.19 states/eV per cell
VASP energy   -2.016 eV/atom

abc: 4.2542 4.2542 4.9531
angles: 90.00 90.00 90.00
Closest atoms and distances in Å follow each position.
Space group P4/mmm (No. 123)
Inequivalent atoms, fractional coordinates:
Ca 0.0000 0.0000 0.0000 x1  4 Cd 3.01, 8 Ni 3.26
Cd 0.5000 0.5000 0.0000 x1  2 F 2.48
Ni 0.0000 0.5000 0.5000 x2  2 F 2.13
F 0.5000 0.5000 0.5000 x1  4 Ni 2.13